Entry 1:
This record from Alexandria describes a relaxed Y2TeCl crystal. The functional is PBE.

Values from the calculation:
Energy relative to the elements, uncorrected = -1.151 eV/atom
E above lowest polymorph = 0.52 eV/f.u.
V = 391 Å³ per cell
Space group = No. 225
D(E_F) = 12.55 states/eV per cell
Raw total energy = -5.6301 eV/atom

Geometry as POSCAR:
```
Y2TeCl
1.0
7.3130 0.0000 0.0000
0.0000 7.3130 0.0000
0.0000 0.0000 7.3130
Y Te Cl
8 4 4
Cartesian
1.8282 1.8282 1.8282
1.8282 1.8282 5.4847
1.8282 5.4847 1.8282
1.8282 5.4847 5.4847
5.4847 1.8282 1.8282
5.4847 1.8282 5.4847
5.4847 5.4847 1.8282
5.4847 5.4847 5.4847
0.0000 0.0000 0.0000
0.0000 3.6565 3.6565
3.6565 0.0000 3.6565
3.6565 3.6565 0.0000
0.0000 0.0000 3.6565
0.0000 3.6565 0.0000
3.6565 0.0000 0.0000
3.6565 3.6565 3.6565
```



Entry 2:
This record from Alexandria describes a relaxed Y2TeCl crystal. The functional is PBE.

Values from the calculation:
Energy relative to the elements, uncorrected = -1.212 eV/atom
E above lowest polymorph = 0.27 eV/f.u.
V = 230 Å³ per cell
Space group = No. 38
D(E_F) = 2.94 states/eV per cell
Raw total energy = -5.6907 eV/atom

Geometry as POSCAR:
```
Y2TeCl
1.0
4.0133 0.0000 0.0000
0.0000 3.9672 0.0000
0.0000 0.0000 14.4291
Y Te Cl
4 2 2
Cartesian
0.0000 0.0000 0.0000
0.0000 1.9836 7.2146
2.0066 0.0000 5.1022
2.0066 1.9836 12.3168
2.0066 0.0000 8.3397
2.0066 1.9836 1.1252
0.0000 0.0000 11.5803
0.0000 1.9836 4.3658
```



Entry 3:
This record from Alexandria describes a relaxed Y2Te2Cl crystal. The functional is PBE.

Values from the calculation:
Energy relative to the elements, uncorrected = -1.527 eV/atom
E above lowest polymorph = 0.34 eV/f.u.
V = 275 Å³ per cell
Space group = No. 127
D(E_F) = 2.75 states/eV per cell
Raw total energy = -5.7391 eV/atom

Geometry as POSCAR:
```
Y2Te2Cl
1.0
8.1962 0.0000 0.0000
0.0000 8.1962 0.0000
0.0000 0.0000 4.0870
Y Te Cl
4 4 2
Cartesian
1.2503 2.8478 0.0000
2.8478 6.9459 0.0000
5.3484 1.2503 0.0000
6.9459 5.3484 0.0000
1.1995 5.2975 2.0435
2.8986 1.1995 2.0435
5.2975 6.9967 2.0435
6.9967 2.8986 2.0435
0.0000 0.0000 0.0000
4.0981 4.0981 0.0000
```



Entry 4:
This record from Alexandria describes a relaxed Y2TeCl crystal. The functional is PBE.

Values from the calculation:
Energy relative to the elements, uncorrected = -1.027 eV/atom
E above lowest polymorph = 1.01 eV/f.u.
V = 113 Å³ per cell
Space group = No. 47
D(E_F) = 2.15 states/eV per cell
Raw total energy = -5.5063 eV/atom

Geometry as POSCAR:
```
Y2TeCl
1.0
3.8888 0.0000 0.0000
0.0000 4.5412 0.0000
0.0000 0.0000 6.4125
Y Te Cl
2 1 1
Cartesian
0.0000 0.0000 0.0000
1.9444 0.0000 3.2063
0.0000 2.2706 3.2063
1.9444 2.2706 0.0000
```



Entry 5:
This record from Alexandria describes a relaxed Y2TeCl crystal. The functional is PBE.

Values from the calculation:
Energy relative to the elements, uncorrected = -1.194 eV/atom
E above lowest polymorph = 0.34 eV/f.u.
V = 107 Å³ per cell
Space group = No. 10
D(E_F) = 2.21 states/eV per cell
Raw total energy = -5.6733 eV/atom

Geometry as POSCAR:
```
Y2TeCl
1.0
3.7912 0.0000 0.0000
0.0000 4.0776 0.0000
-0.9218 0.0000 6.8972
Y Te Cl
2 1 1
Cartesian
0.0179 0.0000 1.7493
2.8516 0.0000 5.1479
1.8956 2.0388 0.0000
-0.4609 2.0388 3.4486
```



Entry 6:
This record from Alexandria describes a relaxed YTe2Cl crystal. The functional is PBE.

Values from the calculation:
Energy relative to the elements, uncorrected = -0.901 eV/atom
E above lowest polymorph = 1.14 eV/f.u.
V = 229 Å³ per cell
Space group = No. 65
D(E_F) = 4.49 states/eV per cell
Raw total energy = -4.5498 eV/atom

Geometry as POSCAR:
```
YTe2Cl
1.0
5.7480 0.0000 0.0000
0.0000 8.7620 0.0000
0.0000 0.0000 4.5388
Y Te Cl
2 4 2
Cartesian
0.0000 0.0000 0.0000
2.8740 4.3810 0.0000
1.4370 2.1905 2.2694
1.4370 6.5715 2.2694
4.3110 2.1905 2.2694
4.3110 6.5715 2.2694
0.0000 4.3810 0.0000
2.8740 0.0000 0.0000
```



Entry 7:
This record from Alexandria describes a relaxed YTe2Cl crystal. The functional is PBE.

Values from the calculation:
Energy relative to the elements, uncorrected = -1.047 eV/atom
E above lowest polymorph = 0.56 eV/f.u.
V = 146 Å³ per cell
Space group = No. 6
D(E_F) = 1.64 states/eV per cell
Raw total energy = -4.6954 eV/atom

Geometry as POSCAR:
```
YTe2Cl
1.0
4.6045 0.0000 0.0000
0.0000 3.7538 0.0000
-1.3243 0.0000 8.4642
Y Te Cl
1 2 1
Cartesian
0.0000 0.0000 0.0000
0.6687 0.0000 3.0475
2.2458 1.8769 1.0836
3.1228 1.8769 6.5759
```



Entry 8:
This record from Alexandria describes a relaxed Y2TeCl crystal. The functional is PBE.

Values from the calculation:
Energy relative to the elements, uncorrected = -0.991 eV/atom
E above lowest polymorph = 1.16 eV/f.u.
V = 233 Å³ per cell
Space group = No. 65
D(E_F) = 5.79 states/eV per cell
Raw total energy = -5.4701 eV/atom

Geometry as POSCAR:
```
Y2TeCl
1.0
3.8437 0.0000 0.0000
0.0000 6.7035 0.0000
0.0000 0.0000 9.0455
Y Te Cl
4 2 2
Cartesian
0.0000 0.0000 2.2489
0.0000 0.0000 6.7966
1.9218 3.3517 2.2489
1.9218 3.3517 6.7966
0.0000 3.3517 0.0000
1.9218 0.0000 0.0000
0.0000 3.3517 4.5228
1.9218 0.0000 4.5228
```



Entry 9:
This record from Alexandria describes a relaxed Y2Te2Cl crystal. The functional is PBE.

Values from the calculation:
Energy relative to the elements, uncorrected = -1.595 eV/atom
E above lowest polymorph = 0.00 eV/f.u.
V = 316 Å³ per cell
Space group = No. 12
D(E_F) = 4.47 states/eV per cell
Raw total energy = -5.8062 eV/atom

Geometry as POSCAR:
```
Y2Te2Cl
1.0
6.7634 -3.0481 0.0000
6.7634 3.0481 0.0000
-3.4777 0.0000 7.6611
Y Te Cl
4 4 2
Cartesian
-0.7715 0.0000 1.8948
1.3455 0.0000 7.0290
8.7035 0.0000 0.6321
10.8204 0.0000 5.7663
2.1069 0.0000 0.9000
3.9942 0.0000 5.4997
6.0547 0.0000 2.1614
7.9420 0.0000 6.7611
-0.1627 0.0000 4.6466
10.2117 0.0000 3.0145
```



Entry 10:
This record from Alexandria describes a relaxed Y2TeCl crystal. The functional is PBE.

Values from the calculation:
Energy relative to the elements, uncorrected = -1.136 eV/atom
E above lowest polymorph = 0.58 eV/f.u.
V = 107 Å³ per cell
Space group = No. 10
D(E_F) = 3.18 states/eV per cell
Raw total energy = -5.6153 eV/atom

Geometry as POSCAR:
```
Y2TeCl
1.0
4.7349 0.0000 0.0000
0.0000 3.8729 0.0000
-1.7467 0.0000 5.8437
Y Te Cl
2 1 1
Cartesian
0.0000 0.0000 0.0000
1.4941 1.9364 2.9218
-0.8734 0.0000 2.9218
2.3675 1.9364 0.0000
```



Entry 11:
This record from Alexandria describes a relaxed YTe2Cl crystal. The functional is PBE.

Values from the calculation:
Energy relative to the elements, uncorrected = 0.093 eV/atom
E above lowest polymorph = 5.12 eV/f.u.
V = 353 Å³ per cell
Space group = No. 166
D(E_F) = 13.57 states/eV per cell
Raw total energy = -3.5552 eV/atom

Geometry as POSCAR:
```
YTe2Cl
1.0
3.5096 0.0000 0.0000
-1.7548 3.0394 0.0000
0.0000 0.0000 33.0665
Y Te Cl
3 6 3
Cartesian
0.0000 0.0000 0.0000
0.0000 2.0262 22.0444
1.7548 1.0131 11.0222
0.0000 0.0000 3.0285
0.0000 0.0000 30.0380
0.0000 2.0262 19.0159
0.0000 2.0262 25.0729
1.7548 1.0131 7.9937
1.7548 1.0131 14.0507
0.0000 0.0000 16.5333
0.0000 2.0262 5.5111
1.7548 1.0131 27.5554
```



Entry 12:
This record from Alexandria describes a relaxed YTeCl6 crystal. The functional is PBE.

Values from the calculation:
Energy relative to the elements, uncorrected = -1.259 eV/atom
V = 246 Å³ per cell
Space group = No. 2
D(E_F) = 0.59 states/eV per cell
Raw total energy = -3.8449 eV/atom

Geometry as POSCAR:
```
YTeCl6
1.0
6.5159 0.0000 0.0000
3.0860 6.0966 0.0000
0.0392 3.5179 6.1968
Y Te Cl
1 1 6
Cartesian
0.0000 0.0000 0.0000
3.2776 1.7590 3.0984
2.1026 4.1882 1.3885
4.3194 7.6782 4.6755
5.2900 6.0326 1.6362
4.3511 3.5820 4.5606
5.3217 1.9364 1.5212
7.5385 5.4263 4.8083
```



Entry 13:
This record from Alexandria describes a relaxed Y2TeCl crystal. The functional is PBE.

Values from the calculation:
Energy relative to the elements, uncorrected = -1.074 eV/atom
E above lowest polymorph = 0.82 eV/f.u.
V = 98 Å³ per cell
Space group = No. 123
D(E_F) = 3.51 states/eV per cell
Raw total energy = -5.5531 eV/atom

Geometry as POSCAR:
```
Y2TeCl
1.0
3.6995 0.0000 0.0000
0.0000 3.6995 0.0000
0.0000 0.0000 7.1952
Y Te Cl
2 1 1
Cartesian
0.0000 0.0000 1.7644
0.0000 0.0000 5.4308
1.8497 1.8497 0.0000
1.8497 1.8497 3.5976
```



Entry 14:
This record from Alexandria describes a relaxed YTe2Cl crystal. The functional is PBE.

Values from the calculation:
Energy relative to the elements, uncorrected = -0.860 eV/atom
E above lowest polymorph = 1.30 eV/f.u.
V = 123 Å³ per cell
Space group = No. 99
D(E_F) = 3.13 states/eV per cell
Raw total energy = -4.5081 eV/atom

Geometry as POSCAR:
```
YTe2Cl
1.0
3.7386 0.0000 0.0000
0.0000 3.7386 0.0000
0.0000 0.0000 8.8152
Y Te Cl
1 2 1
Cartesian
0.0000 0.0000 0.0000
0.0000 0.0000 5.3417
1.8693 1.8693 7.2433
1.8693 1.8693 1.6557
```